Entry 1:
Computed, not measured: crystalline Tb2TmPa2Ru5 at its relaxed geometry at the GGA-PBE level of DFT.

Total energy (Ry/atom): -0.6051
DOS(E_F) (states/eV per atom): 0.67
E_form (eV/atom): -0.322
Symmetry: P4/mbm
Magnetic moment (μB/cell): 0.00

Lattice parameters (Å, degrees): 10.577 10.577 3.685 90.00 90.00 90.00
Element x y z (fractional)
Tb (0.173, 0.327, 0.000)
Tb (0.327, 0.827, 0.000)
Tb (0.673, 0.173, 0.000)
Tb (0.827, 0.673, 0.000)
Tm (0.000, 0.000, 0.000)
Tm (0.500, 0.500, 0.000)
Pa (0.135, 0.635, 0.000)
Pa (0.365, 0.135, 0.000)
Pa (0.635, 0.865, 0.000)
Pa (0.865, 0.365, 0.000)
Ru (0.000, 0.500, 0.500)
Ru (0.055, 0.793, 0.500)
Ru (0.207, 0.055, 0.500)
Ru (0.293, 0.555, 0.500)
Ru (0.445, 0.293, 0.500)
Ru (0.500, 0.000, 0.500)
Ru (0.555, 0.707, 0.500)
Ru (0.707, 0.445, 0.500)
Ru (0.793, 0.945, 0.500)
Ru (0.945, 0.207, 0.500)

---

Entry 2:
Computed, not measured: crystalline TbTm2PaRu2 at its relaxed geometry at the GGA-PBE level of DFT.

Total energy (Ry/atom): -0.5307
DOS(E_F) (states/eV per atom): 0.85
E_form (eV/atom): -0.284
Symmetry: Ibam
Magnetic moment (μB/cell): 0.00

Lattice parameters (Å, degrees): 8.307 8.307 8.307 131.00 70.56 132.58
Element x y z (fractional)
Tb (0.250, 0.250, 0.000)
Tb (0.750, 0.750, 0.000)
Tm (0.199, 0.681, 0.881)
Tm (0.301, 0.181, 0.482)
Tm (0.699, 0.819, 0.518)
Tm (0.801, 0.319, 0.119)
Pa (0.250, 0.750, 0.500)
Pa (0.750, 0.250, 0.500)
Ru (0.104, 0.297, 0.401)
Ru (0.396, 0.797, 0.193)
Ru (0.604, 0.203, 0.807)
Ru (0.896, 0.703, 0.599)

---

Entry 3:
Computed, not measured: crystalline TbTm2PaRu4 at its relaxed geometry at the GGA-PBE level of DFT.

Total energy (Ry/atom): -0.5921
DOS(E_F) (states/eV per atom): 0.48
E_form (eV/atom): -0.534
Symmetry: R-3m
Magnetic moment (μB/cell): 0.00

Lattice parameters (Å, degrees): 8.123 8.123 8.123 34.89 34.89 34.89
Element x y z (fractional)
Tb (0.000, 0.000, 0.000)
Tm (0.253, 0.253, 0.253)
Tm (0.747, 0.747, 0.747)
Pa (0.500, 0.500, 0.500)
Ru (0.128, 0.128, 0.128)
Ru (0.384, 0.384, 0.384)
Ru (0.616, 0.616, 0.616)
Ru (0.872, 0.872, 0.872)

---

Entry 4:
Computed, not measured: crystalline TbY2Pa2Ru5 at its relaxed geometry at the GGA-PBE level of DFT.

Total energy (Ry/atom): -0.6326
DOS(E_F) (states/eV per atom): 0.61
E_form (eV/atom): -0.314
Symmetry: P4/mbm
Magnetic moment (μB/cell): 0.00

Lattice parameters (Å, degrees): 10.613 10.613 3.702 90.00 90.00 90.00
Element x y z (fractional)
Tb (0.000, 0.000, 0.000)
Tb (0.500, 0.500, 0.000)
Y (0.173, 0.327, 0.000)
Y (0.327, 0.827, 0.000)
Y (0.673, 0.173, 0.000)
Y (0.827, 0.673, 0.000)
Pa (0.133, 0.633, 0.000)
Pa (0.367, 0.133, 0.000)
Pa (0.633, 0.867, 0.000)
Pa (0.867, 0.367, 0.000)
Ru (0.000, 0.500, 0.500)
Ru (0.056, 0.791, 0.500)
Ru (0.209, 0.056, 0.500)
Ru (0.291, 0.556, 0.500)
Ru (0.444, 0.291, 0.500)
Ru (0.500, 0.000, 0.500)
Ru (0.556, 0.709, 0.500)
Ru (0.709, 0.444, 0.500)
Ru (0.791, 0.944, 0.500)
Ru (0.944, 0.209, 0.500)

---

Entry 5:
Computed, not measured: crystalline TbY2PaRu2 at its relaxed geometry at the GGA-PBE level of DFT.

Total energy (Ry/atom): -0.5802
DOS(E_F) (states/eV per atom): 0.90
E_form (eV/atom): -0.293
Symmetry: Ibam
Magnetic moment (μB/cell): 0.00

Lattice parameters (Å, degrees): 8.358 8.358 8.358 131.32 70.31 132.59
Element x y z (fractional)
Tb (0.250, 0.250, 0.000)
Tb (0.750, 0.750, 0.000)
Y (0.197, 0.695, 0.891)
Y (0.303, 0.195, 0.498)
Y (0.697, 0.805, 0.502)
Y (0.803, 0.305, 0.109)
Pa (0.250, 0.750, 0.500)
Pa (0.750, 0.250, 0.500)
Ru (0.102, 0.296, 0.398)
Ru (0.398, 0.796, 0.194)
Ru (0.602, 0.204, 0.806)
Ru (0.898, 0.704, 0.602)

---

Entry 6:
Computed, not measured: crystalline Pa2TcRu at its relaxed geometry at the GGA-PBE level of DFT.

Total energy (Ry/atom): -0.7293
DOS(E_F) (states/eV per atom): 1.19
E_form (eV/atom): -0.264
Symmetry: P4/mmm
Magnetic moment (μB/cell): 0.00

Lattice parameters (Å, degrees): 3.463 3.463 6.724 90.00 90.00 90.00
Element x y z (fractional)
Pa (0.000, 0.000, 0.245)
Pa (0.000, 0.000, 0.755)
Tc (0.500, 0.500, 0.500)
Ru (0.500, 0.500, 0.000)

---

Entry 7:
Computed, not measured: crystalline Pa2TcRu at its relaxed geometry at the GGA-PBE level of DFT.

Total energy (Ry/atom): -0.7324
DOS(E_F) (states/eV per atom): 1.00
E_form (eV/atom): -0.306
Symmetry: Pm
Magnetic moment (μB/cell): 0.00

Lattice parameters (Å, degrees): 3.110 7.180 3.859 90.00 108.19 90.00
Element x y z (fractional)
Pa (0.000, 0.249, 0.000)
Pa (0.000, 0.751, 0.000)
Tc (0.442, 0.000, 0.450)
Ru (0.553, 0.500, 0.543)

---

Entry 8:
Computed, not measured: crystalline PaTc2Ru at its relaxed geometry at the GGA-PBE level of DFT.

Total energy (Ry/atom): -0.7206
DOS(E_F) (states/eV per atom): 1.83
E_form (eV/atom): 0.072
Symmetry: R-3m
Magnetic moment (μB/cell): 0.00

Lattice parameters (Å, degrees): 4.589 4.589 4.589 60.67 60.67 60.67
Element x y z (fractional)
Pa (0.000, 0.000, 0.000)
Tc (0.223, 0.223, 0.223)
Tc (0.777, 0.777, 0.777)
Ru (0.500, 0.500, 0.500)